# 1
A crystal of CsTc2Cl relaxed with PBEsol. Source: Alexandria, functional meta-GGA SCAN.

a b c (Å): 4.6118 4.6118 4.6118
angles (deg): 60.00 60.00 60.00
Sites, in units of the cell vectors:
Cs  0.5000  0.5000  0.5000
Tc  0.2500  0.2500  0.2500
Tc  0.7500  0.7500  0.7500
Cl  0.0000  0.0000  0.0000

Computed properties:
- Magnetic moment: 0.00 μB/f.u.
- Space-group type: Fm-3m, No. 225

=====

# 2
A crystal of NaMgAsBr2 relaxed with PBEsol. Source: Alexandria, functional meta-GGA SCAN.

a b c (Å): 5.1995 5.3613 5.3613
angles (deg): 90.00 90.00 90.00
Sites, in units of the cell vectors:
Na  0.5000  0.5000  0.5000
Mg  0.0000  0.0000  0.0000
Br  0.0000  0.5000  0.0000
Br  0.0000  0.0000  0.5000
As  0.5000  0.0000  0.0000

Computed properties:
- Magnetic moment: 2.00 μB/f.u.
- Space-group type: P4/mmm, No. 123

=====

# 3
A crystal of Rb2PrO3 relaxed with PBEsol. Source: Alexandria, functional meta-GGA SCAN.

a b c (Å): 6.6908 6.6908 11.8882
angles (deg): 101.06 101.06 108.56
Sites, in units of the cell vectors:
O  0.0654  0.5654  0.5000
O  0.5878  0.6463  0.6944
O  0.6622  0.1037  0.8056
O  0.4346  0.9346  0.5000
O  0.8963  0.3378  0.1944
O  0.9519  0.8934  0.3056
O  0.3537  0.4122  0.3056
O  0.1066  0.0481  0.6944
O  0.8154  0.8154  0.0000
O  0.1434  0.7019  0.8056
O  0.2981  0.8566  0.1944
O  0.1846  0.1846  0.0000
Rb  0.5042  0.0042  0.0084
Rb  0.9958  0.4958  0.9916
Rb  0.4234  0.4234  0.8469
Rb  0.2542  0.2542  0.5084
Rb  0.6734  0.1734  0.3469
Rb  0.7458  0.7458  0.4916
Rb  0.5766  0.5766  0.1531
Rb  0.8266  0.3266  0.6531
Pr  0.0849  0.0849  0.1697
Pr  0.9151  0.9151  0.8303
Pr  0.3349  0.8349  0.6697
Pr  0.1651  0.6651  0.3303

Computed properties:
- Magnetic moment: 1.00 μB/f.u.
- Space-group type: Fddd, No. 70

=====

Fermi-level density of states for every record listed, in sequence, given in states/eV per atom: 1.232; 0.006; 0.819.
Formation energy from raw total energies for every record listed, in sequence, given in meV per atom: 2172; -754; -2103.
DFT total energy for every record listed, in sequence, given in eV per formula unit: -107.2; -72.1; -116.1.